Here is a relaxed Ca2Ac2Sm crystal from the Alexandria database. Energies are from PBE.

Cell lengths 4.7159, 4.7159, 19.6461 Å; angles 90.00, 90.00, 90.00 degrees
Closest atoms and distances in Å follow each position.
Element x y z (fractional)
Ca: 0.0000 0.5000 0.2500  4 Ca 3.33
Ca: 0.0000 0.5000 0.7500  4 Ca 3.33
Ca: 0.5000 0.0000 0.2500  4 Ca 3.33
Ca: 0.5000 0.0000 0.7500  4 Ca 3.33
Ac: 0.0000 0.0000 0.0918  1 Ac 3.61, 4 Sm 3.79, 4 Ca 3.90
Ac: 0.0000 0.0000 0.9082  1 Ac 3.61, 4 Sm 3.79, 4 Ca 3.90
Ac: 0.5000 0.5000 0.4082  1 Ac 3.61, 4 Sm 3.79, 4 Ca 3.90
Ac: 0.5000 0.5000 0.5918  1 Ac 3.61, 4 Sm 3.79, 4 Ca 3.90
Sm: 0.0000 0.0000 0.5000  8 Ac 3.79
Sm: 0.5000 0.5000 0.0000  8 Ac 3.79

Calculated values
energy relative to the elements	351	meV per atom
relative energy among the computed polymorphs	0.000	eV per atom